[1]
LaNd2OsC2 | GGA-PBE | relaxed

Results
Total magnetic moment   0.000 μB per formula unit
Crystal system   orthorhombic
Fermi-level density of states   9.5 states/eV per cell
Total DFT energy (no corrections)   -88.919 eV for the cell shown

Cell: 3.963 5.830 11.418 Å, 90.00 90.00 90.00°
Fractional positions:
La: 0.500 0.500 0.000
La: 0.000 0.000 0.500
Nd: 0.500 0.029 0.204
Nd: 0.000 0.529 0.296
Nd: 0.500 0.971 0.796
Nd: 0.000 0.471 0.704
Os: 0.000 0.000 0.000
Os: 0.500 0.500 0.500
C: 0.500 0.751 0.386
C: 0.500 0.249 0.614
C: 0.000 0.749 0.886
C: 0.000 0.251 0.114


[2]
Zn6PdPt | GGA-PBE | relaxed

Results
Total magnetic moment   0.000 μB per formula unit
Crystal system   tetragonal
Offset from the most stable computed form   0.000 eV per atom
Fermi-level density of states   1.0 states/eV per cell
Total DFT energy (no corrections)   -21.667 eV for the cell shown

Cell: 3.873 3.873 7.727 Å, 90.00 90.00 90.00°
Fractional positions:
Zn: 0.500 0.500 0.000
Zn: 0.500 0.500 0.500
Zn: 0.500 0.000 0.249
Zn: 0.500 0.000 0.751
Zn: 0.000 0.500 0.249
Zn: 0.000 0.500 0.751
Pd: 0.000 0.000 0.500
Pt: 0.000 0.000 0.000


[3]
In2FeHg | GGA-PBE | relaxed

Results
Total magnetic moment   2.556 μB per formula unit
Crystal system   tetragonal
Fermi-level density of states   3.4 states/eV per cell
Total DFT energy (no corrections)   -12.803 eV for the cell shown

Cell: 5.527 5.527 5.527 Å, 135.16 135.16 65.29°
Site moments in Bohr magnetons follow the coordinates.
Fractional positions:
Fe: 0.500 0.500 0.000  2.74
Hg: 0.750 0.250 0.500  -0.02
In: 0.000 0.000 0.000  -0.04
In: 0.250 0.750 0.500  -0.04


[4]
NdY3 | GGA-PBE | relaxed

Results
Total magnetic moment   0.001 μB per formula unit
Crystal system   cubic
Offset from the most stable computed form   0.109 eV per atom
Fermi-level density of states   8.6 states/eV per cell
Total DFT energy (no corrections)   -23.691 eV for the cell shown

Cell: 5.736 5.736 5.736 Å, 60.00 60.00 60.00°
Fractional positions:
Y: 0.000 0.000 0.000
Y: 0.750 0.750 0.750
Y: 0.250 0.250 0.250
Nd: 0.500 0.500 0.500